[1]
An optimized crystal structure of HgSe3, computed with PBE-GGA.

Cell: 4.016 4.016 5.848 Å, 90.00 90.00 90.00°
Sites, in units of the cell vectors:
1 Hg 0.000 0.000 0.000
2 Se 0.000 0.000 0.500
3 Se 0.500 0.500 0.000
4 Se 0.500 0.500 0.500

- Space group: No. 123
- D(E_F): 0.59 states/eV/atom

=====

[2]
An optimized crystal structure of HgSe2, computed with PBE-GGA.

Cell: 5.554 5.687 9.538 Å, 90.00 90.00 90.00°
Sites, in units of the cell vectors:
1 Hg 0.000 0.000 0.000
2 Hg 0.000 0.500 0.500
3 Hg 0.500 0.000 0.500
4 Hg 0.500 0.500 0.000
5 Se 0.000 0.000 0.371
6 Se 0.000 0.000 0.629
7 Se 0.000 0.500 0.129
8 Se 0.000 0.500 0.871
9 Se 0.500 0.000 0.129
10 Se 0.500 0.000 0.871
11 Se 0.500 0.500 0.371
12 Se 0.500 0.500 0.629

- Offset from the most stable computed form: 322 meV per atom
- Space group: No. 69
- D(E_F): 0.85 states/eV/atom

=====

[3]
An optimized crystal structure of HgSe2, computed with PBE-GGA.

Cell: 5.580 5.580 2.715 Å, 90.00 90.00 90.00°
Sites, in units of the cell vectors:
1 Hg 0.000 0.000 0.000
2 Se 0.000 0.500 0.500
3 Se 0.500 0.000 0.500

- Offset from the most stable computed form: 402 meV per atom
- Space group: No. 123
- D(E_F): 0.67 states/eV/atom

=====

[4]
An optimized crystal structure of HgSe3, computed with PBE-GGA.

Cell: 4.471 4.471 4.471 Å, 90.00 90.00 90.00°
Sites, in units of the cell vectors:
1 Hg 0.000 0.000 0.000
2 Se 0.000 0.500 0.500
3 Se 0.500 0.000 0.500
4 Se 0.500 0.500 0.000

- Space group: No. 221
- D(E_F): 0.73 states/eV/atom

=====

[5]
An optimized crystal structure of HgSe3, computed with PBE-GGA.

Cell: 2.987 3.878 8.683 Å, 90.00 91.07 90.00°
Sites, in units of the cell vectors:
1 Hg 0.000 0.000 0.000
2 Se 0.000 0.000 0.500
3 Se 0.007 0.500 0.712
4 Se 0.993 0.500 0.288

- Space group: No. 10
- D(E_F): 0.19 states/eV/atom

=====

[6]
An optimized crystal structure of HgSe2, computed with PBE-GGA.

Cell: 2.877 26.238 4.665 Å, 90.00 90.00 90.00°
Sites, in units of the cell vectors:
1 Hg 0.000 0.133 0.250
2 Hg 0.000 0.867 0.750
3 Hg 0.500 0.367 0.750
4 Hg 0.500 0.633 0.250
5 Se 0.000 0.240 0.750
6 Se 0.000 0.482 0.250
7 Se 0.000 0.518 0.750
8 Se 0.000 0.760 0.250
9 Se 0.500 0.018 0.750
10 Se 0.500 0.260 0.250
11 Se 0.500 0.740 0.750
12 Se 0.500 0.982 0.250

- Offset from the most stable computed form: 212 meV per atom
- Space group: No. 63
- D(E_F): 0.41 states/eV/atom

=====

[7]
An optimized crystal structure of Hg3Se, computed with PBE-GGA.

Cell: 4.093 4.093 13.134 Å, 90.00 90.00 90.00°
Sites, in units of the cell vectors:
1 Hg 0.000 0.000 0.000
2 Hg 0.000 0.000 0.276
3 Hg 0.000 0.000 0.724
4 Hg 0.500 0.500 0.224
5 Hg 0.500 0.500 0.500
6 Hg 0.500 0.500 0.776
7 Se 0.000 0.000 0.500
8 Se 0.500 0.500 0.000

- Space group: No. 139
- D(E_F): 0.66 states/eV/atom

=====

[8]
An optimized crystal structure of HgSe4, computed with PBE-GGA.

Cell: 5.217 5.217 5.217 Å, 90.00 90.00 90.00°
Sites, in units of the cell vectors:
1 Hg 0.000 0.000 0.000
2 Se 0.000 0.000 0.500
3 Se 0.000 0.500 0.000
4 Se 0.500 0.000 0.000
5 Se 0.500 0.500 0.500

- Offset from the most stable computed form: 845 meV per atom
- Space group: No. 221
- D(E_F): 1.44 states/eV/atom

=====

| no. | ΔE_f (raw) (kcal/mol of atoms) |
| --- | --- |
| 1 | 1.50 |
| 2 | 6.94 |
| 3 | 8.78 |
| 4 | 13.40 |
| 5 | 2.83 |
| 6 | 4.41 |
| 7 | -0.16 |
| 8 | 21.98 |